(1)
# V5Re2Rh12

Crystalline V5Re2Rh12 at its relaxed geometry (PBE, Alexandria via LeMat-Bulk).

Calculated values
The calculation puts the density of states at the Fermi level at 16.560 states/eV per cell. The value obtained for the calculated formation energy is 0.04 eV per atom. Its calculated total energy is -8.311 eV/atom. The symmetry is No. 12.

```
19
Lattice="7.1427 -2.6933 0.0000 7.1427 2.6933 0.0000 -2.1084 0.0000 7.7016" Properties=species:S:1:pos:R:3 pbc="T T T"
V 0.0000 0.0000 0.0000
V 3.9456 0.0000 0.8683
V 3.8650 0.0000 4.8343
V 8.3120 0.0000 2.8673
V 8.2314 0.0000 6.8334
Re 6.0885 1.2050 3.8508
Re 6.0885 -1.2050 3.8508
Rh 3.5232 1.3889 2.9283
Rh -0.4921 0.0000 5.9307
Rh 3.1530 1.3266 6.8977
Rh 9.0240 1.3266 0.8040
Rh 8.6538 1.3889 4.7733
Rh 6.4904 0.0000 1.3035
Rh 5.6866 0.0000 6.3981
Rh 3.5232 -1.3889 2.9283
Rh 3.1530 -1.3266 6.8977
Rh 9.0240 -1.3266 0.8040
Rh 12.6691 0.0000 1.7709
Rh 8.6538 -1.3889 4.7733
```



(2)
# Ca4ZrPa3N8

Crystalline Ca4ZrPa3N8 at its relaxed geometry (PBE, Alexandria via LeMat-Bulk).

Calculated values
The calculation puts the density of states at the Fermi level at 8.962 states/eV per cell. Its calculated total energy is -8.446 eV/atom. The uncorrected formation energy comes out at -1.469 eV per atom. The symmetry is No. 166.

```
16
Lattice="3.4957 2.0182 5.6838 -3.4957 2.0182 5.6838 0.0000 -4.0365 5.6838" Properties=species:S:1:pos:R:3 pbc="T T T"
Ca 0.0000 0.0000 0.0000
Ca -1.7479 -1.0091 5.6838
Ca -1.7479 1.0091 11.3677
Ca 0.0000 2.0182 5.6838
Zr 0.0000 0.0000 8.5258
Pa -3.4957 0.0000 8.5258
Pa -1.7479 1.0091 2.8419
Pa 1.7479 1.0091 2.8419
N -1.7479 -1.0092 9.7424
N 0.0000 0.0000 4.0788
N 0.0000 -2.0183 7.3091
N -1.7479 1.0092 7.3091
N 1.7479 -1.0092 9.7424
N 0.0000 2.0183 9.7424
N 0.0000 0.0000 12.9727
N 1.7479 1.0092 7.3091
```



(3)
# Sc3AgN

Crystalline Sc3AgN at its relaxed geometry (PBE, Alexandria via LeMat-Bulk).

Calculated values
The calculation puts the density of states at the Fermi level at 11.035 states/eV per cell. The excess energy over the best structure of this formula in the dataset comes out at 1.117 eV/atom. Its calculated total energy is -5.836 eV/atom. The uncorrected formation energy comes out at 0.198 eV per atom. The symmetry is No. 194.

```
10
Lattice="4.0510 0.0000 0.0000 -2.0255 3.5082 0.0000 0.0000 0.0000 15.3130" Properties=species:S:1:pos:R:3 pbc="T T T"
Sc 0.0000 0.0000 3.8282
Sc 0.0000 0.0000 11.4847
Sc 0.0000 2.3388 0.9941
Sc 0.0000 2.3388 6.6624
Sc 2.0255 1.1694 8.6506
Sc 2.0255 1.1694 14.3189
Ag 0.0000 2.3388 3.8282
Ag 2.0255 1.1694 11.4847
N 0.0000 0.0000 0.0000
N 0.0000 0.0000 7.6565
```



What did the second record say?
# Ca4ZrPa3N8

Crystalline Ca4ZrPa3N8 at its relaxed geometry (PBE, Alexandria via LeMat-Bulk).

Calculated values
The calculation puts the density of states at the Fermi level at 8.962 states/eV per cell. Its calculated total energy is -8.446 eV/atom. The uncorrected formation energy comes out at -1.469 eV per atom. The symmetry is No. 166.

```
16
Lattice="3.4957 2.0182 5.6838 -3.4957 2.0182 5.6838 0.0000 -4.0365 5.6838" Properties=species:S:1:pos:R:3 pbc="T T T"
Ca 0.0000 0.0000 0.0000
Ca -1.7479 -1.0091 5.6838
Ca -1.7479 1.0091 11.3677
Ca 0.0000 2.0182 5.6838
Zr 0.0000 0.0000 8.5258
Pa -3.4957 0.0000 8.5258
Pa -1.7479 1.0091 2.8419
Pa 1.7479 1.0091 2.8419
N -1.7479 -1.0092 9.7424
N 0.0000 0.0000 4.0788
N 0.0000 -2.0183 7.3091
N -1.7479 1.0092 7.3091
N 1.7479 -1.0092 9.7424
N 0.0000 2.0183 9.7424
N 0.0000 0.0000 12.9727
N 1.7479 1.0092 7.3091
```



Question: Which of these has the highest calculated total energy?
Answer: Sc3AgN



Question: The highest calculated total energy belongs to which entry?
Answer: Sc3AgN